Entry 1:
# Li3Sn2Pd2

Li3Sn2Pd2 after structural relaxation (GGA-PBE, Alexandria via LeMat-Bulk).

Unit cell a=7.881 b=4.541 c=7.136 alpha=90.00 beta=111.61 gamma=90.00
Space group C2/m (No. 12)
Symmetry-distinct sites (fractional):
Li 0.000 0.000 0.000 x2
Li 0.145 0.000 0.434 x4
Sn 0.081 0.500 0.742 x4
Pd 0.219 0.500 0.157 x4

Crystal system = monoclinic
Electronic total energy = -4.04 eV/atom
Density of states at the Fermi level = 0.397 states/eV per atom
ΔE_f = -57.2 kJ/mol of atoms

Entry 2:
# Ca2Si4Ni3Ir

Ca2Si4Ni3Ir after structural relaxation (GGA-PBE, Alexandria via LeMat-Bulk).

Unit cell a=3.950 b=3.950 c=9.980 alpha=90.00 beta=90.00 gamma=90.00
Space group P-4m2 (No. 115)
Symmetry-distinct sites (fractional):
Ca 0.000 0.500 0.241 x2
Si 0.000 0.000 0.000 x1
Si 0.000 0.500 0.635 x2
Si 0.500 0.500 0.000 x1
Ni 0.000 0.500 0.873 x2
Ni 0.500 0.500 0.500 x1
Ir 0.000 0.000 0.500 x1

Energy relative to the elements, uncorrected = -710 meV per atom
Crystal system = tetragonal
Electronic total energy = -5.90 eV/atom
Density of states at the Fermi level = 0.298 states/eV per atom

Entry 3:
# VGaAs2

VGaAs2 after structural relaxation (GGA-PBE, Alexandria via LeMat-Bulk).

Unit cell a=3.0751 b=3.0751 c=26.8751 alpha=90.00 beta=90.00 gamma=120.00
Space group R-3m (No. 166, hexagonal axes)
Symmetry-distinct sites (fractional):
V 0.0000 0.0000 0.0000 x3
Ga 0.0000 0.0000 0.5000 x3
As 0.0000 0.0000 0.3988 x6

Crystal system = trigonal
Electronic total energy = -5.50 eV/atom
Density of states at the Fermi level = 0.539 states/eV per atom
ΔE_f = -13.6 kJ/mol of atoms

Entry 4:
# Te2SI

Te2SI after structural relaxation (GGA-PBE, Alexandria via LeMat-Bulk).

Unit cell a=7.497 b=7.497 c=7.497 alpha=90.00 beta=90.00 gamma=90.00
Space group Fm-3m (No. 225)
Symmetry-distinct sites (fractional):
Te 0.250 0.250 0.250 x8
S 0.000 0.000 0.000 x4
I 0.000 0.000 0.500 x4

Energy relative to the elements, uncorrected = 655 meV per atom
Crystal system = cubic
Electronic total energy = -2.34 eV/atom
Density of states at the Fermi level = 0.850 states/eV per atom